A PBEsol-optimized structure of BRuBr2. Source: the Alexandria database, functional meta-GGA SCAN.

a b c (Å): 4.4661 4.4661 4.4661
angles (deg): 60.00 60.00 60.00
Closest atoms and distances in Å follow each position.
Positions (direct):
Ru (0.5000, 0.5000, 0.5000)  8 Br 2.73
B (0.0000, 0.0000, 0.0000)  8 Br 2.73
Br (0.2500, 0.2500, 0.2500)  4 Ru 2.73, 4 B 2.73
Br (0.7500, 0.7500, 0.7500)  4 B 2.73, 4 Ru 2.73

Calculated values
ρ = 7.2 g/cm3
DOS(E_F) = 2.614 states/eV/cell
formation energy (no corrections) = 1624 meV per atom
space-group type = Fm-3m (225)